(1)
# YMg2Ta

YMg2Ta after structural relaxation (GGA-PBEsol, Alexandria).

VASP energy ... -5.282 eV/atom

Cell lengths 5.4583, 5.4583, 5.4583 Å; angles 132.49, 132.49, 69.46 degrees
Closest atoms and distances in Å follow each position.
Sites, in units of the cell vectors:
Y1 0.0000 0.0000 0.0000  8 Mg 3.11-3.14, 4 Ta 3.14
Mg1 0.5000 0.5000 0.0000  4 Y 3.11, 4 Ta 3.14, 4 Mg 3.14
Mg2 0.7500 0.2500 0.5000  4 Ta 3.11, 4 Mg 3.14, 4 Y 3.14
Ta1 0.2500 0.7500 0.5000  8 Mg 3.11-3.14, 4 Y 3.14

***

(2)
# YMg2ZrTa

YMg2ZrTa after structural relaxation (GGA-PBEsol, Alexandria).

VASP energy ... -4.811 eV/atom

Cell lengths 5.1070, 5.1070, 4.9111 Å; angles 90.00, 90.00, 90.00 degrees
Closest atoms and distances in Å follow each position.
Sites, in units of the cell vectors:
Y1 0.0000 0.0000 0.0000  2 Ta 2.46, 4 Mg 2.55
Mg1 0.0000 0.5000 0.0000  2 Y 2.55
Mg2 0.5000 0.0000 0.0000  2 Y 2.55
Zr1 0.5000 0.5000 0.5000  8 Mg 3.54, 4 Ta 3.61
Ta1 0.0000 0.0000 0.5000  2 Y 2.46

***

(3)
# MgTa2Zn

MgTa2Zn after structural relaxation (GGA-PBEsol, Alexandria).

VASP energy ... -6.888 eV/atom

Cell lengths 3.8534, 3.9449, 4.4426 Å; angles 90.00, 90.00, 90.00 degrees
Closest atoms and distances in Å follow each position.
Sites, in units of the cell vectors:
Mg1 0.0000 0.0000 0.0000  4 Zn 2.76, 8 Ta 2.94-2.97
Ta1 0.0000 0.5000 0.5000  4 Ta 2.76, 4 Zn 2.94, 4 Mg 2.97
Ta2 0.5000 0.0000 0.5000  4 Ta 2.76, 4 Mg 2.94, 4 Zn 2.97
Zn1 0.5000 0.5000 0.0000  4 Mg 2.76, 8 Ta 2.94-2.97

***

(4)
# MgTaZn2

MgTaZn2 after structural relaxation (GGA-PBEsol, Alexandria).

VASP energy ... -4.271 eV/atom

Cell lengths 2.8141, 3.8658, 5.9387 Å; angles 90.00, 90.00, 90.00 degrees
Closest atoms and distances in Å follow each position.
Sites, in units of the cell vectors:
Mg1 0.0000 0.0000 0.0000  2 Mg 2.81, 8 Zn 2.85, 2 Ta 2.97
Ta1 0.0000 0.0000 0.5000  8 Zn 2.78, 2 Ta 2.81, 2 Mg 2.97
Zn1 0.5000 0.5000 0.2616  4 Ta 2.78, 4 Zn 2.81-3.11, 4 Mg 2.85
Zn2 0.5000 0.5000 0.7384  4 Ta 2.78, 4 Zn 2.81-3.11, 4 Mg 2.85

***

(5)
# MgTaZn2

MgTaZn2 after structural relaxation (GGA-PBEsol, Alexandria).

VASP energy ... -4.210 eV/atom

Cell lengths 5.5804, 5.5804, 5.5804 Å; angles 151.39, 128.70, 59.79 degrees
Closest atoms and distances in Å follow each position.
Sites, in units of the cell vectors:
Mg1 0.0000 0.0000 0.0000  6 Zn 2.76-2.80, 2 Mg 2.76, 2 Ta 3.02
Ta1 0.2777 0.7777 0.5000  2 Ta 2.76, 6 Zn 2.79, 2 Mg 3.02
Zn1 0.5289 0.5289 0.0000  4 Zn 2.57-2.76, 2 Ta 2.79, 4 Mg 2.80
Zn2 0.7534 0.2534 0.5000  4 Zn 2.57-2.76, 2 Mg 2.76, 4 Ta 2.79

***

(6)
# MgTaZn2

MgTaZn2 after structural relaxation (GGA-PBEsol, Alexandria).

VASP energy ... -4.378 eV/atom

Cell lengths 2.8972, 2.8972, 7.6086 Å; angles 90.00, 90.00, 90.00 degrees
Closest atoms and distances in Å follow each position.
Sites, in units of the cell vectors:
Mg1 0.0000 0.0000 0.0000  8 Zn 2.81, 4 Mg 2.90
Ta1 0.0000 0.0000 0.5000  8 Zn 2.78, 4 Ta 2.90
Zn1 0.5000 0.5000 0.2524  4 Ta 2.78, 4 Mg 2.81, 4 Zn 2.90
Zn2 0.5000 0.5000 0.7476  4 Ta 2.78, 4 Mg 2.81, 4 Zn 2.90

***

(7)
# MgZr3Ta

MgZr3Ta after structural relaxation (GGA-PBEsol, Alexandria).

VASP energy ... -7.438 eV/atom

Cell lengths 5.0924, 5.0924, 5.0924 Å; angles 90.00, 90.00, 90.00 degrees
Closest atoms and distances in Å follow each position.
Sites, in units of the cell vectors:
Mg1 0.0000 0.0000 0.0000  12 Zr 3.60
Zr1 0.0000 0.5000 0.5000  2 Ta 2.55
Zr2 0.5000 0.0000 0.5000  2 Ta 2.55
Zr3 0.5000 0.5000 0.0000  2 Ta 2.55
Ta1 0.5000 0.5000 0.5000  6 Zr 2.55

***

(8)
# MgZrTa2

MgZrTa2 after structural relaxation (GGA-PBEsol, Alexandria).

VASP energy ... -8.730 eV/atom

Cell lengths 3.8001, 4.3602, 4.5576 Å; angles 90.00, 90.00, 90.00 degrees
Closest atoms and distances in Å follow each position.
Sites, in units of the cell vectors:
Mg1 0.0000 0.0000 0.0000  4 Zr 2.89, 8 Ta 2.97-3.15
Zr1 0.5000 0.5000 0.0000  4 Mg 2.89, 8 Ta 2.97-3.15
Ta1 0.0000 0.5000 0.5000  4 Ta 2.89, 4 Zr 2.97, 4 Mg 3.15
Ta2 0.5000 0.0000 0.5000  4 Ta 2.89, 4 Mg 2.97, 4 Zr 3.15

***

(9)
# TbMg2

TbMg2 after structural relaxation (GGA-PBEsol, Alexandria).

VASP energy ... -2.872 eV/atom

Cell lengths 6.0093, 6.0093, 9.6936 Å; angles 90.00, 90.00, 120.00 degrees
Closest atoms and distances in Å follow each position.
Sites, in units of the cell vectors:
Tb1 0.3333 0.6667 0.0643  12 Mg 3.48-3.53, 4 Tb 3.60-3.69
Tb2 0.3333 0.6667 0.4357  12 Mg 3.48-3.53, 4 Tb 3.60-3.69
Tb3 0.6667 0.3333 0.5643  12 Mg 3.48-3.53, 4 Tb 3.60-3.69
Tb4 0.6667 0.3333 0.9357  12 Mg 3.48-3.53, 4 Tb 3.60-3.69
Mg1 0.0000 0.0000 0.0000  6 Mg 3.01
Mg2 0.0000 0.0000 0.5000  6 Mg 3.01
Mg3 0.1710 0.3421 0.7500  6 Mg 2.93-3.08
Mg4 0.1710 0.8290 0.7500  6 Mg 2.93-3.08
Mg5 0.3421 0.1710 0.2500  6 Mg 2.93-3.08
Mg6 0.6579 0.8290 0.7500  6 Mg 2.93-3.08
Mg7 0.8290 0.1710 0.2500  6 Mg 2.93-3.08
Mg8 0.8290 0.6579 0.2500  6 Mg 2.93-3.08

***

(10)
# TbMg3

TbMg3 after structural relaxation (GGA-PBEsol, Alexandria).

VASP energy ... -2.608 eV/atom

Cell lengths 6.6290, 6.6290, 5.1380 Å; angles 90.00, 90.00, 120.00 degrees
Closest atoms and distances in Å follow each position.
Sites, in units of the cell vectors:
Tb1 0.3333 0.6667 0.2500  12 Mg 3.22-3.31
Tb2 0.6667 0.3333 0.7500  12 Mg 3.22-3.31
Mg1 0.1637 0.3274 0.7500  8 Mg 3.18-3.37, 4 Tb 3.22-3.31
Mg2 0.1637 0.8363 0.7500  8 Mg 3.18-3.37, 4 Tb 3.22-3.31
Mg3 0.3274 0.1637 0.2500  8 Mg 3.18-3.37, 4 Tb 3.22-3.31
Mg4 0.6726 0.8363 0.7500  8 Mg 3.18-3.37, 4 Tb 3.22-3.31
Mg5 0.8363 0.1637 0.2500  8 Mg 3.18-3.37, 4 Tb 3.22-3.31
Mg6 0.8363 0.6726 0.2500  8 Mg 3.18-3.37, 4 Tb 3.22-3.31

***

(11)
# TbMg3

TbMg3 after structural relaxation (GGA-PBEsol, Alexandria).

VASP energy ... -2.622 eV/atom

Cell lengths 5.1286, 5.1286, 5.1286 Å; angles 60.00, 60.00, 60.00 degrees
Closest atoms and distances in Å follow each position.
Sites, in units of the cell vectors:
Tb1 0.0000 0.0000 0.0000  8 Mg 3.14
Mg1 0.2500 0.2500 0.2500  4 Tb 3.14, 4 Mg 3.14
Mg2 0.5000 0.5000 0.5000  8 Mg 3.14
Mg3 0.7500 0.7500 0.7500  4 Mg 3.14, 4 Tb 3.14

***

(12)
# Tb2Mg

Tb2Mg after structural relaxation (GGA-PBEsol, Alexandria).

VASP energy ... -3.951 eV/atom

Cell lengths 7.2712, 7.2712, 7.2712 Å; angles 152.25, 152.25, 39.65 degrees
Closest atoms and distances in Å follow each position.
Sites, in units of the cell vectors:
Tb1 0.1633 0.1633 0.0000  4 Mg 3.33, 8 Tb 3.42-3.49
Tb2 0.8367 0.8367 0.0000  4 Mg 3.33, 8 Tb 3.42-3.49
Mg1 0.5000 0.5000 0.0000  8 Tb 3.33, 4 Mg 3.49

***

Repeat the sixth record exactly.
# MgTaZn2

MgTaZn2 after structural relaxation (GGA-PBEsol, Alexandria).

VASP energy ... -4.378 eV/atom

Cell lengths 2.8972, 2.8972, 7.6086 Å; angles 90.00, 90.00, 90.00 degrees
Closest atoms and distances in Å follow each position.
Sites, in units of the cell vectors:
Mg1 0.0000 0.0000 0.0000  8 Zn 2.81, 4 Mg 2.90
Ta1 0.0000 0.0000 0.5000  8 Zn 2.78, 4 Ta 2.90
Zn1 0.5000 0.5000 0.2524  4 Ta 2.78, 4 Mg 2.81, 4 Zn 2.90
Zn2 0.5000 0.5000 0.7476  4 Ta 2.78, 4 Mg 2.81, 4 Zn 2.90

***

Look up the VASP energy of the eighth one.
-8.730 eV/atom

***

Among the records above, which one has the highest VASP energy?
number 10